No. 1
A plane-wave DFT calculation with PBE was carried out for a relaxed Mg5AlAg3 crystal.

Geometry as POSCAR:
```
Mg5AlAg3
1.0
4.902 -4.154 0.000
4.902 4.154 0.000
-1.507 0.000 10.087
Mg Al Ag
10 2 6
direct
0.027 0.027 0.344 Mg
0.105 0.493 0.355 Mg
0.178 0.822 0.000 Mg
0.234 0.234 0.859 Mg
0.493 0.105 0.355 Mg
0.507 0.895 0.645 Mg
0.766 0.766 0.141 Mg
0.822 0.178 0.000 Mg
0.895 0.507 0.645 Mg
0.973 0.973 0.656 Mg
0.484 0.484 0.750 Al
0.516 0.516 0.250 Al
0.236 0.236 0.578 Ag
0.237 0.237 0.128 Ag
0.500 0.500 0.000 Ag
0.500 0.500 0.500 Ag
0.763 0.763 0.872 Ag
0.764 0.764 0.422 Ag
```

## Properties
- Fermi-level density of states (states/eV/f.u.) = 3.11
- V (Å³/atom) = 22.8
- total DFT energy (no corrections) (eV per atom) = -2.22

No. 2
A plane-wave DFT calculation with PBE was carried out for a relaxed Na2Pd crystal.

Geometry as POSCAR:
```
Na2Pd
1.0
0.000 3.950 3.950
3.950 0.000 3.950
3.950 3.950 0.000
Na Pd
4 2
direct
0.000 0.000 0.000 Na
0.000 0.000 0.500 Na
0.000 0.500 0.000 Na
0.500 0.000 0.000 Na
0.375 0.375 0.375 Pd
0.625 0.625 0.625 Pd
```

## Properties
- Fermi-level density of states (states/eV/f.u.) = 1.42
- V (Å³/atom) = 20.6
- total DFT energy (no corrections) (eV per atom) = -2.36

No. 3
A plane-wave DFT calculation with PBE was carried out for a relaxed ThSi2Tc4 crystal.

Geometry as POSCAR:
```
ThSi2Tc4
1.0
7.527 0.000 0.000
0.000 7.527 0.000
0.000 0.000 4.097
Th Si Tc
2 4 8
direct
0.000 0.000 0.000 Th
0.500 0.500 0.500 Th
0.213 0.213 0.500 Si
0.287 0.713 0.000 Si
0.713 0.287 0.000 Si
0.787 0.787 0.500 Si
0.087 0.654 0.500 Tc
0.154 0.413 0.000 Tc
0.346 0.913 0.500 Tc
0.413 0.154 0.000 Tc
0.587 0.846 0.000 Tc
0.654 0.087 0.500 Tc
0.846 0.587 0.000 Tc
0.913 0.346 0.500 Tc
```

## Properties
- uncorrected formation energy (eV/atom) = -0.545
- energy above the most stable polymorph in this dataset (meV per atom) = 27
- Fermi-level density of states (states/eV/f.u.) = 5.45
- V (Å³/atom) = 16.6
- total DFT energy (no corrections) (eV per atom) = -9.08

No. 4
A plane-wave DFT calculation with PBE was carried out for a relaxed ThPd3Au2 crystal.

Geometry as POSCAR:
```
ThPd3Au2
1.0
2.877 -7.401 0.000
2.877 7.401 0.000
0.000 0.000 5.434
Th Pd Au
2 6 4
direct
0.171 0.829 0.750 Th
0.829 0.171 0.250 Th
0.080 0.411 0.750 Pd
0.334 0.666 0.250 Pd
0.411 0.080 0.250 Pd
0.589 0.920 0.750 Pd
0.666 0.334 0.750 Pd
0.920 0.589 0.250 Pd
0.257 0.257 0.000 Au
0.257 0.257 0.500 Au
0.743 0.743 0.000 Au
0.743 0.743 0.500 Au
```

## Properties
- energy above the most stable polymorph in this dataset (meV per atom) = 0
- Fermi-level density of states (states/eV/f.u.) = 1.98
- V (Å³/atom) = 19.3
- total DFT energy (no corrections) (eV per atom) = -5.47

No. 5
A plane-wave DFT calculation with PBE was carried out for a relaxed LiMnSnBr6 crystal.

Geometry as POSCAR:
```
LiMnSnBr6
1.0
6.811 0.000 0.000
-3.406 5.899 0.000
0.000 0.000 6.360
Li Mn Sn Br
1 1 1 6
direct
0.000 0.000 0.000 Li
0.333 0.667 0.000 Mn
0.667 0.333 0.500 Sn
0.029 0.349 0.233 Br
0.029 0.680 0.767 Br
0.320 0.349 0.767 Br
0.320 0.971 0.233 Br
0.651 0.680 0.233 Br
0.651 0.971 0.767 Br
```

## Properties
- uncorrected formation energy (eV/atom) = -0.851
- Fermi-level density of states (states/eV/f.u.) = 2.65
- V (Å³/atom) = 28.4
- total DFT energy (no corrections) (eV per atom) = -3.64

No. 6
A plane-wave DFT calculation with PBE was carried out for a relaxed LiZr2Tl crystal.

Geometry as POSCAR:
```
LiZr2Tl
1.0
-1.784 2.296 5.137
1.784 -2.296 5.137
1.784 2.296 -5.137
Li Zr Tl
1 2 1
direct
0.000 0.000 0.000 Li
0.247 0.747 0.500 Zr
0.753 0.253 0.500 Zr
0.500 0.500 0.000 Tl
```

## Properties
- Fermi-level density of states (states/eV/f.u.) = 3.00
- V (Å³/atom) = 21.0
- total DFT energy (no corrections) (eV per atom) = -5.32

Q: Which value of Fermi-level density of states does entry 6 give?
A: 3.00 states/eV/f.u.

Repeat the fifth record exactly.
A plane-wave DFT calculation with PBE was carried out for a relaxed LiMnSnBr6 crystal.

Geometry as POSCAR:
```
LiMnSnBr6
1.0
6.811 0.000 0.000
-3.406 5.899 0.000
0.000 0.000 6.360
Li Mn Sn Br
1 1 1 6
direct
0.000 0.000 0.000 Li
0.333 0.667 0.000 Mn
0.667 0.333 0.500 Sn
0.029 0.349 0.233 Br
0.029 0.680 0.767 Br
0.320 0.349 0.767 Br
0.320 0.971 0.233 Br
0.651 0.680 0.233 Br
0.651 0.971 0.767 Br
```

## Properties
- uncorrected formation energy (eV/atom) = -0.851
- Fermi-level density of states (states/eV/f.u.) = 2.65
- V (Å³/atom) = 28.4
- total DFT energy (no corrections) (eV per atom) = -3.64

Q: The highest Fermi-level density of states belongs to which entry?
A: ThSi2Tc4

Q: The highest Fermi-level density of states belongs to which entry?
A: ThSi2Tc4